CrHgIrO2: relaxed, PBE with a Hubbard U.

Unit cell a=3.8174 b=3.8174 c=6.4166 alpha=90.00 beta=90.00 gamma=90.00
Closest atoms and distances in Å follow each position.
Space group P4/mmm (No. 123)
One atom of each set of equivalent atoms:
Cr  0.0000  0.0000  0.0000  4 Hg 2.70
Hg  0.5000  0.5000  0.0000  4 Cr 2.70
Ir  0.5000  0.5000  0.5000  4 O 1.91
O  0.0000  0.5000  0.5000  2 Ir 1.91

Calculated values
**N(E_F)**: 2.83 states/eV per cell
**E_tot**: -26.7 eV for the cell shown
**Total magnetic moment**: 5.0 μB/cell